VASP calculation (PBE) on a geometry-optimized Tb3Dy6Er2Tm structure.

CIF file:
```
data_Tb3Dy6Er2Tm
_chemical_formula_sum 'Tb6 Dy12 Er4 Tm2'
_space_group_name_H-M_alt 'C 1 2/m 1'
_space_group_IT_number 12
_cell_length_a 6.114
_cell_length_b 10.578
_cell_length_c 11.689
_cell_angle_alpha 90.00
_cell_angle_beta 99.98
_cell_angle_gamma 90.00
loop_
_space_group_symop_operation_xyz
'x,y,z'
'-x,-y,-z'
'-x,y,-z'
'x,-y,z'
'x+1/2,y+1/2,z'
'-x+1/2,-y+1/2,-z'
'-x+1/2,y+1/2,-z'
'x+1/2,-y+1/2,z'
loop_
_atom_site_label
_atom_site_type_symbol
_atom_site_fract_x
_atom_site_fract_y
_atom_site_fract_z
Tb1 Tb 0.000 0.000 0.000
Tb2 Tb 0.000 0.333 0.000
Dy1 Dy 0.249 0.333 0.748
Dy2 Dy 0.250 0.000 0.748
Er1 Er 0.000 0.167 0.500
Tm1 Tm 0.000 0.500 0.500
```

Summary:
Density of states at the Fermi level   31.45 states/eV/cell
Energy of formation from the pure elements   0.018 eV/atom